# 1
Below is Ni5Se4Cl2O12 at its PBEsol-relaxed geometry, with properties calculated at the SCAN level.

Computed properties:
Raw formation energy in eV per atom: -1.088
Space-group type: P-1 (2)

a b c (Å): 7.9343 9.1567 9.2407
angles (deg): 102.04 105.65 92.16
Last column: nearest neighbours and their distance in Å.
Element x y z (fractional)
Se 0.2892 0.6828 0.8930  3 O 1.74-1.76
Se 0.8208 0.7639 0.1005  3 O 1.69-1.81
Se 0.1792 0.2361 0.8995  3 O 1.69-1.81
Se 0.8407 0.8894 0.5622  3 O 1.72-1.81
Se 0.7108 0.3172 0.1070  3 O 1.74-1.76
Se 0.4568 0.6200 0.3241  3 O 1.73-1.75
Se 0.1593 0.1106 0.4378  3 O 1.72-1.81
Se 0.5432 0.3800 0.6759  3 O 1.73-1.75
Cl 0.4402 0.0297 0.7241  2 Ni 2.32-2.44
Cl 0.0255 0.6317 0.4002  2 Ni 2.30-2.32
Cl 0.5598 0.9703 0.2759  2 Ni 2.32-2.44
Cl 0.9745 0.3683 0.5998  2 Ni 2.30-2.32
O 0.3571 0.2302 0.0470  1 Se 1.69
O 0.6429 0.7698 0.9530  1 Se 1.69
O 0.2841 0.6795 0.1936  1 Se 1.75
O 0.1983 0.9251 0.3973  1 Se 1.72
O 0.2854 0.8722 0.9802  1 Se 1.76
O 0.9389 0.3367 0.1783  1 Se 1.74
O 0.7146 0.1278 0.0198  1 Se 1.76
O 0.4597 0.7352 0.4986  1 Se 1.73
O 0.9891 0.8866 0.0736  1 Se 1.81, 1 Ni 2.00
O 0.0611 0.6633 0.8217  1 Se 1.74
O 0.6730 0.5424 0.6874  1 Se 1.74
O 0.6644 0.3113 0.2798  1 Se 1.74
O 0.3270 0.4576 0.3126  1 Se 1.74
O 0.2136 0.1319 0.2652  1 Se 1.81, 2 Ni 1.95-2.01
O 0.8875 0.5889 0.0369  1 Se 1.74
O 0.7159 0.3205 0.8064  1 Se 1.75
O 0.3356 0.6887 0.7202  1 Se 1.74
O 0.5403 0.2648 0.5014  1 Se 1.73
O 0.0640 0.9071 0.6581  1 Se 1.74
O 0.9360 0.0929 0.3419  1 Se 1.74
O 0.1125 0.4111 0.9631  1 Se 1.74
O 0.8017 0.0749 0.6027  1 Se 1.72
O 0.0109 0.1134 0.9264  1 Se 1.81, 1 Ni 2.00
O 0.7864 0.8681 0.7348  1 Se 1.81, 2 Ni 1.95-2.01
Ni 0.9105 0.4873 0.8230  5 O 1.97-2.11
Ni 0.7402 0.1027 0.8034  5 O 2.01-2.18
Ni 0.4192 0.2598 0.2724  5 O 1.95-2.06
Ni 0.0342 0.8855 0.8702  6 O 2.00-2.08
Ni 0.2598 0.8973 0.1966  5 O 2.01-2.18
Ni 0.0895 0.5127 0.1770  5 O 1.97-2.11
Ni 0.5808 0.7402 0.7276  5 O 1.95-2.06
Ni 0.2466 0.8097 0.5611  4 O 1.98-2.04
Ni 0.7534 0.1903 0.4389  4 O 1.98-2.04
Ni 0.9658 0.1145 0.1298  6 O 2.00-2.08

=====

# 2
Below is Li2CrGa at its PBEsol-relaxed geometry, with properties calculated at the SCAN level.

Computed properties:
Calculated formation energy in eV per atom: 0.1715
Space-group type: I-42d (122)

a b c (Å): 5.1134 5.6023 5.6023
angles (deg): 77.98 62.85 62.85
Last column: nearest neighbours and their distance in Å.
Element x y z (fractional)
Cr 0.2500 0.5000 0.5000  2 Ga 2.56, 4 Li 2.63
Cr 0.5000 0.0000 0.0000  2 Ga 2.56, 4 Li 2.63
Li 0.6360 0.9890 0.4890  2 Ga 2.52, 2 Li 2.56, 2 Cr 2.63
Li 0.1140 0.0111 0.5110  2 Ga 2.52, 2 Li 2.56, 2 Cr 2.63
Li 0.8750 0.4890 0.0111  2 Ga 2.52, 2 Li 2.56, 2 Cr 2.63
Li 0.3750 0.5110 0.9890  2 Ga 2.52, 2 Li 2.56, 2 Cr 2.63
Ga 0.7500 0.5000 0.5000  4 Li 2.52, 2 Cr 2.56
Ga 0.0000 0.0000 0.0000  4 Li 2.52, 2 Cr 2.56

=====

# 3
Below is ZnPbW2 at its PBEsol-relaxed geometry, with properties calculated at the SCAN level.

Computed properties:
Calculated formation energy in eV per atom: 0.8111
Space-group type: P2/m (10)

a b c (Å): 2.8768 4.5980 5.3145
angles (deg): 90.00 95.56 90.00
Last column: nearest neighbours and their distance in Å.
Element x y z (fractional)
Pb 0.0000 0.5000 0.5000  4 W 2.83, 2 Pb 2.88, 4 Zn 2.90-3.14
W 0.7971 0.0000 0.7799  1 W 2.51, 2 Zn 2.75
W 0.2029 0.0000 0.2201  1 W 2.51, 2 Zn 2.75
Zn 0.5000 0.5000 0.0000  4 W 2.75, 2 Zn 2.88, 2 Pb 2.90

=====

Number 1: D(E_F) 0.00 states/eV/f.u., raw total energy -553.88 eV for the cell shown. Number 2: D(E_F) 1.72 states/eV/f.u., raw total energy -77.65 eV for the cell shown. Number 3: D(E_F) 2.18 states/eV/f.u., raw total energy -225.43 eV for the cell shown.